(1)
The following is a PBE-GGA calculation of crystalline HoTc2Ge2 at its relaxed geometry, from OQMD via LeMat-Bulk.

Unit cell a=6.042 b=6.042 c=6.042 alpha=139.90 beta=139.90 gamma=58.01
Element x y z (fractional)
1 Ho 0.000 0.000 0.000
2 Ge 0.381 0.381 0.000
3 Ge 0.619 0.619 0.000
4 Tc 0.250 0.750 0.500
5 Tc 0.750 0.250 0.500

## Properties
magnetization	0.0	μB/cell
E	-7.304	eV/atom

(2)
The following is a PBE-GGA calculation of crystalline Ho2Tc3Ge5 at its relaxed geometry, from OQMD via LeMat-Bulk.

Unit cell a=8.589 b=8.589 c=8.589 alpha=110.14 beta=82.93 gamma=141.15
Element x y z (fractional)
1 Ge 0.087 0.813 0.900
2 Ho 0.360 0.761 0.122
3 Ge 0.454 0.250 0.204
4 Ge 0.250 0.750 0.500
5 Ge 0.913 0.187 0.100
6 Ho 0.860 0.739 0.599
7 Tc 0.250 0.250 0.000
8 Tc 0.750 0.750 0.000
9 Tc 0.651 0.918 0.569
10 Ge 0.546 0.750 0.796
11 Ge 0.750 0.250 0.500
12 Tc 0.151 0.582 0.733
13 Ge 0.413 0.313 0.726
14 Tc 0.849 0.418 0.267
15 Ho 0.640 0.239 0.878
16 Ge 0.587 0.687 0.274
17 Tc 0.349 0.082 0.431
18 Ge 0.954 0.750 0.204
19 Ge 0.046 0.250 0.796
20 Ho 0.140 0.261 0.401

## Properties
magnetization	0.0	μB/cell
E	-6.822	eV/atom

(3)
The following is a PBE-GGA calculation of crystalline Ho4GeTe3 at its relaxed geometry, from OQMD via LeMat-Bulk.

Unit cell a=7.475 b=7.475 c=4.268 alpha=90.00 beta=90.00 gamma=109.12
Element x y z (fractional)
1 Te 0.500 0.000 0.000
2 Te 0.500 0.500 0.500
3 Ge 0.000 0.000 0.500
4 Te 0.000 0.500 0.000
5 Ho 0.767 0.233 0.500
6 Ho 0.777 0.777 0.000
7 Ho 0.233 0.767 0.500
8 Ho 0.223 0.223 0.000

## Properties
magnetization	0.0	μB/cell
E	-5.304	eV/atom